No. 1
This record from Alexandria describes a relaxed structure of Tb5Cd2Rh2. The functional is GGA-PBE. Values from VASP.

Quantum ESPRESSO input file:
```
&SYSTEM
  ibrav = 0, nat = 18, ntyp = 3
/
ATOMIC_SPECIES
Tb 158.93 Tb.upf
Cd 112.41 Cd.upf
Rh 102.91 Rh.upf
CELL_PARAMETERS angstrom
8.077 -3.733 0.000
8.077 3.733 0.000
0.000 0.000 7.704
ATOMIC_POSITIONS angstrom
Tb 0.000 0.000 0.000
Tb 6.145 2.445 5.193
Tb 6.145 1.288 1.341
Tb 10.008 2.445 5.193
Tb 10.008 1.288 1.341
Tb 8.077 0.000 3.852
Tb 6.145 -1.288 6.362
Tb 6.145 -2.445 2.510
Tb 10.008 -1.288 6.362
Tb 10.008 -2.445 2.510
Cd 3.516 0.000 0.000
Cd 4.560 0.000 3.852
Cd 11.593 0.000 3.852
Cd 12.637 0.000 0.000
Rh 8.077 2.754 2.824
Rh 8.077 0.978 6.675
Rh 8.077 -0.978 1.028
Rh 8.077 -2.754 4.880
```



No. 2
This record from Alexandria describes a relaxed structure of Tb4Cd3Rh. The functional is GGA-PBE. Values from VASP.

Quantum ESPRESSO input file:
```
&SYSTEM
  ibrav = 0, nat = 8, ntyp = 3
/
ATOMIC_SPECIES
Tb 158.93 Tb.upf
Cd 112.41 Cd.upf
Rh 102.91 Rh.upf
CELL_PARAMETERS angstrom
3.622 0.000 0.000
0.000 3.622 0.000
0.000 0.000 15.167
ATOMIC_POSITIONS angstrom
Tb 0.000 0.000 1.608
Tb 0.000 0.000 5.622
Tb 0.000 0.000 9.546
Tb 0.000 0.000 13.560
Cd 1.811 1.811 3.676
Cd 1.811 1.811 7.584
Cd 1.811 1.811 11.492
Rh 1.811 1.811 0.000
```



No. 3
This record from Alexandria describes a relaxed structure of Tb3CdRh8. The functional is GGA-PBE. Values from VASP.

Quantum ESPRESSO input file:
```
&SYSTEM
  ibrav = 0, nat = 12, ntyp = 3
/
ATOMIC_SPECIES
Tb 158.93 Tb.upf
Cd 112.41 Cd.upf
Rh 102.91 Rh.upf
CELL_PARAMETERS angstrom
2.655 1.533 8.710
-2.655 1.533 8.710
0.000 -3.065 8.710
ATOMIC_POSITIONS angstrom
Tb 0.000 0.000 0.000
Tb 0.000 0.000 3.356
Tb 0.000 0.000 13.289
Cd 0.000 0.000 16.482
Rh 0.000 -1.528 6.096
Rh -1.323 0.764 6.096
Rh -1.327 -0.766 10.445
Rh 0.000 0.000 8.269
Rh 1.323 0.764 6.096
Rh 1.327 -0.766 10.445
Rh 0.000 1.532 10.445
Rh 0.000 0.000 21.335
```



No. 4
This record from Alexandria describes a relaxed structure of Tb2CdRh3. The functional is GGA-PBE. Values from VASP.

Quantum ESPRESSO input file:
```
&SYSTEM
  ibrav = 0, nat = 12, ntyp = 3
/
ATOMIC_SPECIES
Tb 158.93 Tb.upf
Cd 112.41 Cd.upf
Rh 102.91 Rh.upf
CELL_PARAMETERS angstrom
4.684 0.000 0.000
0.000 5.457 0.000
0.000 0.000 9.609
ATOMIC_POSITIONS angstrom
Tb 0.000 0.000 1.722
Tb 0.000 0.000 7.887
Tb 2.342 2.729 3.083
Tb 2.342 2.729 6.526
Cd 0.000 0.000 4.804
Cd 2.342 2.729 0.000
Rh 0.000 2.729 1.420
Rh 0.000 2.729 4.804
Rh 0.000 2.729 8.189
Rh 2.342 0.000 0.000
Rh 2.342 0.000 3.385
Rh 2.342 0.000 6.224
```



Which E_tot belongs to each record? In order, -4.932; -4.029; -6.726; -5.725 eV/atom.
Which E_form belongs to each record? In order, -4.71; -3.62; -7.09; -2.12 eV per formula unit.